--- one ---
First-principles (PBE) data for an optimized crystal structure of TaInSn3, as listed in Alexandria via LeMat-Bulk.

Calculated values
The space-group type is No. 221.

abc: 5.416 5.416 5.416
angles: 90.00 90.00 90.00
Atoms (fractional coordinates):
Ta  0.000  0.000  0.000
In  0.500  0.500  0.500
Sn  0.000  0.000  0.500
Sn  0.000  0.500  0.000
Sn  0.500  0.000  0.000

=====

--- two ---
First-principles (PBE) data for an optimized crystal structure of TaInSn3, as listed in Alexandria via LeMat-Bulk.

Calculated values
The space-group type is No. 221.

abc: 5.408 5.408 5.408
angles: 90.00 90.00 90.00
Atoms (fractional coordinates):
Ta  0.000  0.000  0.000
In  0.500  0.500  0.500
Sn  0.000  0.500  0.500
Sn  0.500  0.000  0.500
Sn  0.500  0.500  0.000

=====

The structure shown above that is least stable: two.